Material: LaPr6Y5
Method: DFT, PBE-GGA
State: relaxed

a b c (Å): 11.493 5.195 8.218
angles (deg): 71.63 81.78 63.11
Fractional coordinates of all 12 atoms:
Y 0.500 0.167 0.667
Y 0.500 0.833 0.333
Y 0.000 0.668 0.663
Y 0.500 0.500 0.000
Y 0.000 0.332 0.337
Pr 0.252 0.248 0.000
Pr 0.252 0.915 0.666
Pr 0.252 0.581 0.334
Pr 0.748 0.752 0.000
Pr 0.748 0.419 0.666
Pr 0.748 0.085 0.334
La 0.000 0.000 0.000

## Properties
Size of the total moment (Bohr magnetons per cell): 0.00
Excess energy over the best structure of this formula in the dataset (meV per atom): 3.4
Formation enthalpy at 0 K (eV/atom): 0.015
Volume (Å³/cell): 415.4

---

Material: La2Pr2Y15
Method: DFT, PBE-GGA
State: relaxed

a b c (Å): 8.846 8.846 8.846
angles (deg): 80.83 80.83 80.83
Fractional coordinates of all 19 atoms:
Y 0.365 0.365 0.846
Y 0.500 0.000 0.000
Y 0.846 0.365 0.365
Y 0.699 0.000 0.301
Y 0.635 0.635 0.154
Y 0.635 0.154 0.635
Y 0.000 0.000 0.500
Y 0.000 0.301 0.699
Y 0.000 0.699 0.301
Y 0.154 0.635 0.635
Y 0.699 0.301 0.000
Y 0.301 0.699 0.000
Y 0.301 0.000 0.699
Y 0.000 0.500 0.000
Y 0.365 0.846 0.365
Pr 0.881 0.881 0.881
Pr 0.119 0.119 0.119
La 0.665 0.665 0.665
La 0.335 0.335 0.335

## Properties
Size of the total moment (Bohr magnetons per cell): 0.00
Formation enthalpy at 0 K (eV/atom): 0.273
Volume (Å³/cell): 668.2

---

Material: La4PrY4
Method: DFT, PBE-GGA
State: relaxed

a b c (Å): 5.204 8.191 8.191
angles (deg): 84.21 71.48 71.48
Fractional coordinates of all 9 atoms:
Pr 0.000 0.000 0.000
Y 0.336 0.664 0.664
Y 0.664 0.336 0.336
Y 0.000 0.664 0.336
Y 0.000 0.336 0.664
La 0.333 0.000 0.334
La 0.667 0.000 0.666
La 0.667 0.666 0.000
La 0.333 0.334 0.000

## Properties
Size of the total moment (Bohr magnetons per cell): 0.00
Excess energy over the best structure of this formula in the dataset (meV per atom): 2.5
Formation enthalpy at 0 K (eV/atom): 0.026
Volume (Å³/cell): 313.9

---

Material: La4Pr2Y5
Method: DFT, PBE-GGA
State: relaxed

a b c (Å): 5.197 8.161 11.026
angles (deg): 121.75 103.63 90.00
Fractional coordinates of all 11 atoms:
Y 0.410 0.271 0.820
Y 0.500 0.000 0.000
Y 0.864 0.910 0.727
Y 0.590 0.729 0.180
Y 0.136 0.090 0.273
La 0.955 0.639 0.910
La 0.045 0.361 0.090
La 0.682 0.455 0.364
La 0.318 0.545 0.636
Pr 0.226 0.818 0.452
Pr 0.774 0.182 0.548

## Properties
Size of the total moment (Bohr magnetons per cell): 0.00
Excess energy over the best structure of this formula in the dataset (meV per atom): 0.0
Formation enthalpy at 0 K (eV/atom): 0.024
Volume (Å³/cell): 382.1

---

Material: La2PrY
Method: DFT, PBE-GGA
State: relaxed

a b c (Å): 3.724 6.348 6.348
angles (deg): 108.97 90.00 90.00
Fractional coordinates of all 4 atoms:
Pr 0.500 0.000 0.000
Y 0.500 0.500 0.500
La 0.000 0.500 0.000
La 0.000 0.000 0.500

## Properties
Size of the total moment (Bohr magnetons per cell): 0.00
Excess energy over the best structure of this formula in the dataset (meV per atom): 4.0
Formation enthalpy at 0 K (eV/atom): 0.013
Volume (Å³/cell): 141.9

---

Material: La2PrY5
Method: DFT, PBE-GGA
State: relaxed

a b c (Å): 5.748 6.443 16.788
angles (deg): 90.00 90.00 116.49
Fractional coordinates of all 16 atoms:
Y 0.609 0.218 0.943
Y 0.512 0.024 0.250
Y 0.391 0.782 0.443
Y 0.391 0.782 0.057
Y 0.091 0.182 0.428
Y 0.091 0.182 0.072
Y 0.488 0.976 0.750
Y 0.909 0.818 0.928
Y 0.609 0.218 0.557
Y 0.909 0.818 0.572
La 0.780 0.560 0.364
La 0.780 0.560 0.136
La 0.220 0.440 0.864
La 0.220 0.440 0.636
Pr 0.793 0.586 0.750
Pr 0.207 0.414 0.250

## Properties
Size of the total moment (Bohr magnetons per cell): 0.00
Excess energy over the best structure of this formula in the dataset (meV per atom): 106.7
Formation enthalpy at 0 K (eV/atom): 0.130
Volume (Å³/cell): 556.4